Model w:
# PBE CdHPdAu2, optimized geometry
# Total magnetization: 0.00 μB/f.u.
# Crystal system: tetragonal
# Fermi-level density of states: 0.23 states/eV/atom
data_CdHPdAu2
_cell_length_a 4.482
_cell_length_b 4.482
_cell_length_c 3.717
_cell_angle_alpha 90.00
_cell_angle_beta 90.00
_cell_angle_gamma 90.00
_space_group_name_H-M_alt 'P 4/m m m'
_space_group_IT_number 123
_space_group_name_Hall '-P 4 2'
loop_
_atom_site_label
_atom_site_type_symbol
_atom_site_fract_x
_atom_site_fract_y
_atom_site_fract_z
Cd1 Cd 0.000 0.000 0.000
H1 H 0.500 0.500 0.500
Pd1 Pd 0.500 0.500 0.000
Au1 Au 0.000 0.500 0.500



Model x:
# PBE CdHPdAu2, optimized geometry
# Total magnetization: 0.00 μB/f.u.
# Crystal system: tetragonal
# Fermi-level density of states: 0.19 states/eV/atom
data_CdHPdAu2
_cell_length_a 4.077
_cell_length_b 4.077
_cell_length_c 4.509
_cell_angle_alpha 90.00
_cell_angle_beta 90.00
_cell_angle_gamma 90.00
_space_group_name_H-M_alt 'P 4/m m m'
_space_group_IT_number 123
_space_group_name_Hall '-P 4 2'
loop_
_atom_site_label
_atom_site_type_symbol
_atom_site_fract_x
_atom_site_fract_y
_atom_site_fract_z
Cd1 Cd 0.000 0.000 0.000
H1 H 0.000 0.000 0.500
Pd1 Pd 0.500 0.500 0.000
Au1 Au 0.000 0.500 0.500



Which of them is most stable, and which least? Most stable: model w; least stable: model x.



Model w:
# PBE Rb2CdHAu, optimized geometry
# Total magnetization: 0.00 μB/f.u.
# Crystal system: monoclinic
# Fermi-level density of states: 0.17 states/eV/atom
data_Rb2CdHAu
_cell_length_a 7.542
_cell_length_b 5.081
_cell_length_c 8.544
_cell_angle_alpha 90.00
_cell_angle_beta 108.78
_cell_angle_gamma 90.00
_space_group_name_H-M_alt 'P 1 21/m 1'
_space_group_IT_number 11
_space_group_name_Hall '-P 2yb'
loop_
_atom_site_label
_atom_site_type_symbol
_atom_site_fract_x
_atom_site_fract_y
_atom_site_fract_z
Rb1 Rb 0.104 0.250 0.356
Rb2 Rb 0.270 0.250 0.960
Cd1 Cd 0.460 0.750 0.353
H1 H 0.192 0.750 0.199
Au1 Au 0.380 0.750 0.670



Model x:
# PBE Rb2CdHAu, optimized geometry
# Total magnetization: 0.00 μB/f.u.
# Crystal system: tetragonal
# Fermi-level density of states: 0.27 states/eV/atom
data_Rb2CdHAu
_cell_length_a 5.690
_cell_length_b 5.690
_cell_length_c 4.673
_cell_angle_alpha 90.00
_cell_angle_beta 90.00
_cell_angle_gamma 90.00
_space_group_name_H-M_alt 'P 4/m m m'
_space_group_IT_number 123
_space_group_name_Hall '-P 4 2'
loop_
_atom_site_label
_atom_site_type_symbol
_atom_site_fract_x
_atom_site_fract_y
_atom_site_fract_z
Rb1 Rb 0.000 0.500 0.000
Cd1 Cd 0.000 0.000 0.500
H1 H 0.000 0.000 0.000
Au1 Au 0.500 0.500 0.500



Which of them is most stable, and which least? Most stable: model w; least stable: model x.